Record 1
DFT (GGA-PBE) results for a geometry-optimized BaTe3Rh structure.

```
data_BaTe3Rh
_symmetry_space_group_name_H-M 'P m -3 m'
_symmetry_Int_Tables_number 221
_symmetry_space_group_name_Hall '-P 4 2 3'
_cell_length_a 5.372
_cell_length_b 5.372
_cell_length_c 5.372
_cell_angle_alpha 90.00
_cell_angle_beta 90.00
_cell_angle_gamma 90.00
loop_
_atom_site_label
_atom_site_fract_x
_atom_site_fract_y
_atom_site_fract_z
Ba1 0.000 0.000 0.000
Te1 0.000 0.500 0.500
Rh1 0.500 0.500 0.500
```

Computed properties:
E above lowest polymorph, eV/atom: 0.000
Formation energy from raw total energies, kJ per mole of atoms: -58.0
Size of the total moment, μB per atom: 0.000
Theoretical density, g/cm³: 6.7

---

Record 2
DFT (GGA-PBE) results for a geometry-optimized Mg2GaPb structure.

```
data_Mg2GaPb
_symmetry_space_group_name_H-M 'R 3 m'
_symmetry_Int_Tables_number 160
_symmetry_space_group_name_Hall 'R 3 -2"'
_cell_length_a 4.6975
_cell_length_b 4.6975
_cell_length_c 15.6184
_cell_angle_alpha 90.00
_cell_angle_beta 90.00
_cell_angle_gamma 120.00
loop_
_atom_site_label
_atom_site_fract_x
_atom_site_fract_y
_atom_site_fract_z
Mg1 0.0000 0.0000 0.0000
Mg2 0.0000 0.0000 0.2156
Ga1 0.0000 0.0000 0.6248
Pb1 0.0000 0.0000 0.4318
```

Computed properties:
Energy of formation, meV per atom: -7
Size of the total moment, μB per atom: 0.000
Theoretical density, g/cm³: 5.4

---

Record 3
DFT (GGA-PBE) results for a geometry-optimized Eu2BiH structure.

```
data_Eu2BiH
_symmetry_space_group_name_H-M 'R -3 m'
_symmetry_Int_Tables_number 166
_symmetry_space_group_name_Hall '-R 3 2"'
_cell_length_a 4.7228
_cell_length_b 4.7228
_cell_length_c 17.3255
_cell_angle_alpha 90.00
_cell_angle_beta 90.00
_cell_angle_gamma 120.00
loop_
_atom_site_label
_atom_site_fract_x
_atom_site_fract_y
_atom_site_fract_z
Eu1 0.0000 0.0000 0.2339
Bi1 0.0000 0.0000 0.0000
H1 0.0000 0.0000 0.5000
```

Computed properties:
E above lowest polymorph, eV/atom: 0.000
Size of the total moment, μB per atom: 3.500
Theoretical density, g/cm³: 7.6

---

Record 4
DFT (GGA-PBE) results for a geometry-optimized TbPuNiPt structure.

```
data_TbPuNiPt
_symmetry_space_group_name_H-M 'F -4 3 m'
_symmetry_Int_Tables_number 216
_symmetry_space_group_name_Hall 'F -4 2 3'
_cell_length_a 6.919
_cell_length_b 6.919
_cell_length_c 6.919
_cell_angle_alpha 90.00
_cell_angle_beta 90.00
_cell_angle_gamma 90.00
loop_
_atom_site_label
_atom_site_fract_x
_atom_site_fract_y
_atom_site_fract_z
Tb1 0.000 0.000 0.000
Pu1 0.000 0.000 0.500
Ni1 0.250 0.250 0.750
Pt1 0.250 0.250 0.250
```

Computed properties:
Energy of formation, meV per atom: -546
Size of the total moment, μB per atom: 1.400
Theoretical density, g/cm³: 13.2

---

Record 5
DFT (GGA-PBE) results for a geometry-optimized CsTl2Rh structure.

```
data_CsTl2Rh
_symmetry_space_group_name_H-M 'I 41/a m d'
_symmetry_Int_Tables_number 141
_cell_length_a 6.763
_cell_length_b 6.763
_cell_length_c 15.839
_cell_angle_alpha 90.00
_cell_angle_beta 90.00
_cell_angle_gamma 90.00
loop_
_symmetry_equiv_pos_as_xyz
'x,y,z'
'-x,-y,-z'
'-y+1/4,x+3/4,z+1/4'
'y+1/4,-x+3/4,-z+1/4'
'-x+1/2,-y,z+1/2'
'x+1/2,y,-z+1/2'
'y+1/4,-x+1/4,z+3/4'
'-y+1/4,x+1/4,-z+3/4'
'x,-y,-z'
'-x,y,z'
'-y+1/4,-x+1/4,-z+3/4'
'y+1/4,x+1/4,z+3/4'
'-x+1/2,y,-z+1/2'
'x+1/2,-y,z+1/2'
'y+1/4,x+3/4,-z+1/4'
'-y+1/4,-x+3/4,z+1/4'
'x+1/2,y+1/2,z+1/2'
'-x+1/2,-y+1/2,-z+1/2'
'-y+3/4,x+1/4,z+3/4'
'y+3/4,-x+1/4,-z+3/4'
'-x,-y+1/2,z'
'x,y+1/2,-z'
'y+3/4,-x+3/4,z+1/4'
'-y+3/4,x+3/4,-z+1/4'
'x+1/2,-y+1/2,-z+1/2'
'-x+1/2,y+1/2,z+1/2'
'-y+3/4,-x+3/4,-z+1/4'
'y+3/4,x+3/4,z+1/4'
'-x,y+1/2,-z'
'x,-y+1/2,z'
'y+3/4,x+1/4,-z+3/4'
'-y+3/4,-x+1/4,z+3/4'
loop_
_atom_site_label
_atom_site_fract_x
_atom_site_fract_y
_atom_site_fract_z
Cs1 0.000 0.250 0.375
Tl1 0.000 0.000 0.000
Rh1 0.000 0.250 0.875
```

Computed properties:
Energy of formation, meV per atom: 80
Size of the total moment, μB per atom: 0.000
Theoretical density, g/cm³: 5.9

---

Record 6
DFT (GGA-PBE) results for a geometry-optimized Ba3Pm2UN6 structure.

```
data_Ba3Pm2UN6
_symmetry_space_group_name_H-M 'C 1 2/m 1'
_symmetry_Int_Tables_number 12
_cell_length_a 6.387
_cell_length_b 11.019
_cell_length_c 6.742
_cell_angle_alpha 90.00
_cell_angle_beta 108.00
_cell_angle_gamma 90.00
loop_
_symmetry_equiv_pos_as_xyz
'x,y,z'
'-x,-y,-z'
'-x,y,-z'
'x,-y,z'
'x+1/2,y+1/2,z'
'-x+1/2,-y+1/2,-z'
'-x+1/2,y+1/2,-z'
'x+1/2,-y+1/2,z'
loop_
_atom_site_label
_atom_site_fract_x
_atom_site_fract_y
_atom_site_fract_z
Ba1 0.000 0.000 0.000
Ba2 0.000 0.331 0.000
Pm1 0.000 0.166 0.500
U1 0.000 0.500 0.500
N1 0.210 0.353 0.687
N2 0.237 0.500 0.297
```

Computed properties:
Formation energy from raw total energies, kJ per mole of atoms: -100.2
Size of the total moment, μB per atom: 0.000
Theoretical density, g/cm³: 7.5

---

Record 7
DFT (GGA-PBE) results for a geometry-optimized Ce3SnPt structure.

```
data_Ce3SnPt
_symmetry_space_group_name_H-M 'P n m a'
_symmetry_Int_Tables_number 62
_cell_length_a 12.175
_cell_length_b 4.322
_cell_length_c 11.072
_cell_angle_alpha 90.00
_cell_angle_beta 90.00
_cell_angle_gamma 90.00
loop_
_symmetry_equiv_pos_as_xyz
'x,y,z'
'-x,-y,-z'
'-x+1/2,-y,z+1/2'
'x+1/2,y,-z+1/2'
'x+1/2,-y+1/2,-z+1/2'
'-x+1/2,y+1/2,z+1/2'
'-x,y+1/2,-z'
'x,-y+1/2,z'
loop_
_atom_site_label
_atom_site_fract_x
_atom_site_fract_y
_atom_site_fract_z
Ce1 0.041 0.250 0.161
Ce2 0.122 0.750 0.541
Ce3 0.231 0.250 0.797
Sn1 0.179 0.750 0.008
Pt1 0.012 0.250 0.674
```

Computed properties:
Energy of formation, meV per atom: -627
Size of the total moment, μB per atom: 0.657
Theoretical density, g/cm³: 8.4

---

Record 8
DFT (GGA-PBE) results for a geometry-optimized CePr2Nd structure.

```
data_CePr2Nd
_symmetry_space_group_name_H-M 'R -3 m'
_symmetry_Int_Tables_number 166
_symmetry_space_group_name_Hall '-R 3 2"'
_cell_length_a 3.5289
_cell_length_b 3.5289
_cell_length_c 38.2454
_cell_angle_alpha 90.00
_cell_angle_beta 90.00
_cell_angle_gamma 120.00
loop_
_atom_site_label
_atom_site_fract_x
_atom_site_fract_y
_atom_site_fract_z
Ce1 0.0000 0.0000 0.0000
Pr1 0.0000 0.0000 0.0871
Nd1 0.0000 0.0000 0.5000
```

Computed properties:
E above lowest polymorph, eV/atom: 0.136
Energy of formation, meV per atom: 201
Size of the total moment, μB per atom: 0.241
Theoretical density, g/cm³: 6.8

---

Record 9
DFT (GGA-PBE) results for a geometry-optimized AcPm2Nd3 structure.

```
data_AcPm2Nd3
_symmetry_space_group_name_H-M 'C 1 2/c 1'
_symmetry_Int_Tables_number 15
_cell_length_a 10.492
_cell_length_b 7.464
_cell_length_c 12.354
_cell_angle_alpha 90.00
_cell_angle_beta 115.06
_cell_angle_gamma 90.00
loop_
_symmetry_equiv_pos_as_xyz
'x,y,z'
'-x,-y,-z'
'-x,y,-z+1/2'
'x,-y,z+1/2'
'x+1/2,y+1/2,z'
'-x+1/2,-y+1/2,-z'
'-x+1/2,y+1/2,-z+1/2'
'x+1/2,-y+1/2,z+1/2'
loop_
_atom_site_label
_atom_site_fract_x
_atom_site_fract_y
_atom_site_fract_z
Ac1 0.000 0.125 0.250
Pm1 0.166 0.125 0.583
Nd1 0.000 0.375 0.750
Nd2 0.166 0.375 0.081
```

Computed properties:
E above lowest polymorph, eV/atom: 0.000
Energy of formation, meV per atom: 27
Size of the total moment, μB per atom: 0.000
Theoretical density, g/cm³: 7.2

---

Record 10
DFT (GGA-PBE) results for a geometry-optimized TcPtI2N structure.

```
data_TcPtI2N
_symmetry_space_group_name_H-M 'P 4/m m m'
_symmetry_Int_Tables_number 123
_symmetry_space_group_name_Hall '-P 4 2'
_cell_length_a 5.793
_cell_length_b 5.793
_cell_length_c 3.711
_cell_angle_alpha 90.00
_cell_angle_beta 90.00
_cell_angle_gamma 90.00
loop_
_atom_site_label
_atom_site_fract_x
_atom_site_fract_y
_atom_site_fract_z
Tc1 0.000 0.000 0.000
Pt1 0.500 0.500 0.500
I1 0.000 0.500 0.500
N1 0.500 0.500 0.000
```

Computed properties:
E above lowest polymorph, eV/atom: 0.346
Formation energy from raw total energies, kJ per mole of atoms: 106.1
Size of the total moment, μB per atom: 0.868
Theoretical density, g/cm³: 7.5

---

Record 11
DFT (GGA-PBE) results for a geometry-optimized ErZrSb structure.

```
data_ErZrSb
_symmetry_space_group_name_H-M 'C 1 2/m 1'
_symmetry_Int_Tables_number 12
_cell_length_a 18.310
_cell_length_b 4.103
_cell_length_c 9.245
_cell_angle_alpha 90.00
_cell_angle_beta 94.43
_cell_angle_gamma 90.00
loop_
_symmetry_equiv_pos_as_xyz
'x,y,z'
'-x,-y,-z'
'-x,y,-z'
'x,-y,z'
'x+1/2,y+1/2,z'
'-x+1/2,-y+1/2,-z'
'-x+1/2,y+1/2,-z'
'x+1/2,-y+1/2,z'
loop_
_atom_site_label
_atom_site_fract_x
_atom_site_fract_y
_atom_site_fract_z
Er1 0.040 0.000 0.336
Er2 0.099 0.500 0.851
Zr1 0.244 0.000 0.374
Zr2 0.248 0.000 0.872
Sb1 0.135 0.000 0.096
Sb2 0.136 0.000 0.615
```

Computed properties:
Formation energy from raw total energies, kJ per mole of atoms: -35.8
Size of the total moment, μB per atom: 0.000
Theoretical density, g/cm³: 7.3

---

Record 12
DFT (GGA-PBE) results for a geometry-optimized Cd5HgAu6 structure.

```
data_Cd5HgAu6
_symmetry_space_group_name_H-M 'C 1 2/m 1'
_symmetry_Int_Tables_number 12
_cell_length_a 14.539
_cell_length_b 6.869
_cell_length_c 4.788
_cell_angle_alpha 90.00
_cell_angle_beta 99.84
_cell_angle_gamma 90.00
loop_
_symmetry_equiv_pos_as_xyz
'x,y,z'
'-x,-y,-z'
'-x,y,-z'
'x,-y,z'
'x+1/2,y+1/2,z'
'-x+1/2,-y+1/2,-z'
'-x+1/2,y+1/2,-z'
'x+1/2,-y+1/2,z'
loop_
_atom_site_label
_atom_site_fract_x
_atom_site_fract_y
_atom_site_fract_z
Cd1 0.000 0.000 0.000
Cd2 0.164 0.500 0.668
Cd3 0.167 0.000 0.671
Hg1 0.000 0.500 0.000
Au1 0.000 0.242 0.500
Au2 0.169 0.246 0.173
```

Computed properties:
Energy of formation, meV per atom: -129
Size of the total moment, μB per atom: 0.000
Theoretical density, g/cm³: 13.7